The following is a PBE-GGA calculation of a geometry-optimized KB2Pb2O6 structure, from Alexandria via LeMat-Bulk.

abc: 5.581 5.924 6.477
angles: 65.39 64.86 74.33
Space group P-1 (No. 2)
Unique sites:
K 0.000 0.000 0.000 [1 per cell]
B 0.454 0.725 0.276 [2 per cell]
Pb 0.282 0.292 0.319 [2 per cell]
O 0.184 0.703 0.351 [2 per cell]
O 0.364 0.407 0.872 [2 per cell]
O 0.463 0.129 0.651 [2 per cell]

Summary:
Formation energy without anion corrections in eV/atom: -1.731

The following is a PBE-GGA calculation of a geometry-optimized Lu2HfBi structure, from Alexandria via LeMat-Bulk.

abc: 3.885 3.885 6.988
angles: 90.00 90.00 90.00
Space group P4/mmm (No. 123)
Unique sites:
Lu 0.000 0.000 0.250 [2 per cell]
Hf 0.500 0.500 0.000 [1 per cell]
Bi 0.500 0.500 0.500 [1 per cell]

Summary:
ΔH_f (0 K) in kcal/mol of atoms: -4.7